The following is a DFT calculation (GGA-PBE) of an optimized crystal structure of Mn2P12W.

a = 8.496 Å, b = 8.496 Å, c = 10.578 Å
α = 65.77°, β = 65.77°, γ = 39.42°
Sites, in units of the cell vectors:
Mn1 0.011 0.628 0.045
Mn2 0.372 0.989 0.455
Mn3 0.989 0.372 0.955
Mn4 0.628 0.011 0.545
P1 0.025 0.671 0.240
P2 0.329 0.975 0.260
P3 0.975 0.329 0.760
P4 0.671 0.025 0.740
P5 0.990 0.076 0.074
P6 0.924 0.010 0.426
P7 0.010 0.924 0.926
P8 0.076 0.990 0.574
P9 0.668 0.564 0.498
P10 0.436 0.332 0.002
P11 0.332 0.436 0.502
P12 0.564 0.668 0.998
P13 0.003 0.353 0.165
P14 0.647 0.997 0.335
P15 0.997 0.647 0.835
P16 0.353 0.003 0.665
P17 0.701 0.421 0.334
P18 0.579 0.299 0.166
P19 0.299 0.579 0.666
P20 0.421 0.701 0.834
P21 0.052 0.403 0.424
P22 0.597 0.948 0.076
P23 0.948 0.597 0.576
P24 0.403 0.052 0.924
W1 0.304 0.696 0.250
W2 0.696 0.304 0.750

Results
**Total moment**: 0.0 μB per cell
**ΔE_f**: -0.33 eV per atom
**Space-group type**: No. 15
**Energy**: -6.74 eV per atom